# 1
Material: LiMnCd
Method: DFT, PBE
State: optimized geometry

Properties
The value obtained for the total magnetization is 3.68 μB per formula unit. Its formation energy from the elements is 0.164 eV/atom. The energy above the lowest structure with this stoichiometry comes out at 0 meV per atom. The calculation puts the volume at 51 Å³ per cell.

Unit cell a=4.580 b=4.580 c=2.782 alpha=90.00 beta=90.00 gamma=120.00
Element x y z (fractional)
Cd (0.000, 0.000, 0.045)
Li (0.333, 0.667, 0.340)
Mn (0.667, 0.333, 0.615)

# 2
Material: La2PrIn2Ag2
Method: DFT, PBE
State: optimized geometry

Properties
The value obtained for the total magnetization is 0.00 μB per formula unit. Its formation energy from the elements is -0.337 eV/atom. The calculation puts the volume at 196 Å³ per cell.

Unit cell a=4.947 b=4.947 c=9.656 alpha=75.16 beta=75.16 gamma=60.00
Element x y z (fractional)
Pr (0.000, 0.000, 0.000)
Ag (0.603, 0.603, 0.191)
Ag (0.397, 0.397, 0.809)
La (0.128, 0.128, 0.616)
La (0.872, 0.872, 0.384)
In (0.736, 0.736, 0.792)
In (0.264, 0.264, 0.208)

Which value of formation energy from the elements does entry 1 give?
0.164 eV/atom